1.
Material: KSrRu
Method: DFT, PBEsol
State: optimized geometry

```
12
Lattice="7.331 0.000 0.000 0.000 7.331 0.000 0.000 0.000 7.331" Properties=species:S:1:pos:R:3 pbc="T T T"
K 0.000 0.000 0.000
K 0.000 3.665 3.665
K 3.665 0.000 3.665
K 3.665 3.665 0.000
Sr 0.000 0.000 3.665
Sr 0.000 3.665 0.000
Sr 3.665 0.000 0.000
Sr 3.665 3.665 3.665
Ru 1.833 1.833 5.498
Ru 1.833 5.498 1.833
Ru 5.498 1.833 1.833
Ru 5.498 5.498 5.498
```

Summary:
D(E_F) in states/eV/cell: 35.4
Calculated volume in Å³ per cell: 394
Energy of formation from the pure elements in meV/atom: 1227

---

2.
Material: K2TaRu
Method: DFT, PBEsol
State: optimized geometry

```
8
Lattice="21.093 0.000 0.000 0.000 3.144 0.000 -0.724 0.000 3.866" Properties=species:S:1:pos:R:3 pbc="T T T"
K 3.025 0.000 0.577
K 6.797 1.572 3.289
K 13.572 1.572 0.577
K 17.344 0.000 3.289
Ta -0.362 0.000 1.933
Ta 10.184 1.572 1.933
Ru 0.000 1.572 0.000
Ru 10.547 0.000 0.000
```

Summary:
D(E_F) in states/eV/cell: 7.6
Calculated volume in Å³ per cell: 256
ΔE to the lowest computed polymorph in meV per atom: 0
Energy of formation from the pure elements in meV/atom: 637

---

3.
Material: K2TaRu2
Method: DFT, PBEsol
State: optimized geometry

```
10
Lattice="3.499 0.000 0.000 0.000 3.499 0.000 0.000 0.000 15.881" Properties=species:S:1:pos:R:3 pbc="T T T"
K 0.000 1.749 3.970
K 0.000 1.749 11.911
K 1.749 0.000 3.970
K 1.749 0.000 11.911
Ta 0.000 0.000 0.000
Ta 1.749 1.749 7.941
Ru 0.000 0.000 6.664
Ru 0.000 0.000 9.217
Ru 1.749 1.749 1.276
Ru 1.749 1.749 14.605
```

Summary:
D(E_F) in states/eV/cell: 13.4
Calculated volume in Å³ per cell: 194
Energy of formation from the pure elements in meV/atom: 1407

---

Q: Which formula does entry 2 have?
A: K2TaRu